Entry 1:
Compound: P2AuCl
Source: the Alexandria database
Functional: PBE
Structure: optimized geometry

Structure (CIF):
```
data_P2AuCl
_chemical_formula_sum 'P8 Au4 Cl4'
_symmetry_space_group_name_H-M 'I -4 2 d'
_symmetry_Int_Tables_number 122
_symmetry_space_group_name_Hall 'I -4 2bw'
_cell_length_a 6.4841
_cell_length_b 6.4841
_cell_length_c 8.8714
_cell_angle_alpha 90.00
_cell_angle_beta 90.00
_cell_angle_gamma 90.00
loop_
_atom_site_label
_atom_site_type_symbol
_atom_site_fract_x
_atom_site_fract_y
_atom_site_fract_z
P1 P 0.2027 0.2500 0.1250
Au1 Au 0.0000 0.0000 0.0000
Cl1 Cl 0.0000 0.0000 0.5000
```

Calculated values
energy above the lowest structure with this stoichiometry	0.575	eV/atom
formation energy (no corrections)	570.4	meV/atom



Entry 2:
Compound: TiAg4Te4
Source: the Alexandria database
Functional: PBE
Structure: optimized geometry

Structure (CIF):
```
data_TiAg4Te4
_chemical_formula_sum 'Ti2 Ag8 Te8'
_symmetry_space_group_name_H-M 'I -4 2 m'
_symmetry_Int_Tables_number 121
_symmetry_space_group_name_Hall 'I -4 2'
_cell_length_a 6.4811
_cell_length_b 6.4811
_cell_length_c 12.8440
_cell_angle_alpha 90.00
_cell_angle_beta 90.00
_cell_angle_gamma 90.00
loop_
_atom_site_label
_atom_site_type_symbol
_atom_site_fract_x
_atom_site_fract_y
_atom_site_fract_z
Ti1 Ti 0.0000 0.0000 0.0000
Ag1 Ag 0.0000 0.0000 0.2483
Ag2 Ag 0.0000 0.5000 0.0000
Te1 Te 0.2425 0.2425 0.1217
```

Calculated values
formation energy (no corrections)	-273.7	meV/atom



Entry 3:
Compound: FePRu2
Source: the Alexandria database
Functional: PBE
Structure: optimized geometry

Structure (CIF):
```
data_FePRu2
_chemical_formula_sum 'Fe2 P2 Ru4'
_symmetry_space_group_name_H-M 'I -4 m 2'
_symmetry_Int_Tables_number 119
_symmetry_space_group_name_Hall 'I -4 -2'
_cell_length_a 3.6492
_cell_length_b 3.6492
_cell_length_c 7.5266
_cell_angle_alpha 90.00
_cell_angle_beta 90.00
_cell_angle_gamma 90.00
loop_
_atom_site_label
_atom_site_type_symbol
_atom_site_fract_x
_atom_site_fract_y
_atom_site_fract_z
Fe1 Fe 0.0000 0.0000 0.0000
P1 P 0.0000 0.5000 0.7500
Ru1 Ru 0.0000 0.0000 0.5000
Ru2 Ru 0.0000 0.5000 0.2500
```

Calculated values
energy of formation from the pure elements	3.4	kJ per mole of atoms



Entry 4:
Compound: Ba2SbBr
Source: the Alexandria database
Functional: PBE
Structure: optimized geometry

Structure (CIF):
```
data_Ba2SbBr
_chemical_formula_sum 'Ba4 Sb2 Br2'
_symmetry_space_group_name_H-M 'I m m 2'
_symmetry_Int_Tables_number 44
_cell_length_a 4.5387
_cell_length_b 4.6205
_cell_length_c 16.6567
_cell_angle_alpha 90.00
_cell_angle_beta 90.00
_cell_angle_gamma 90.00
loop_
_symmetry_equiv_pos_as_xyz
'x,y,z'
'-x,-y,z'
'-x,y,z'
'x,-y,z'
'x+1/2,y+1/2,z+1/2'
'-x+1/2,-y+1/2,z+1/2'
'-x+1/2,y+1/2,z+1/2'
'x+1/2,-y+1/2,z+1/2'
loop_
_atom_site_label
_atom_site_type_symbol
_atom_site_fract_x
_atom_site_fract_y
_atom_site_fract_z
Ba1 Ba 0.0000 0.0000 0.0000
Ba2 Ba 0.0000 0.5000 0.2296
Sb1 Sb 0.0000 0.0000 0.5802
Br1 Br 0.0000 0.5000 0.8233
```

Calculated values
formation energy (no corrections)	-1340.1	meV/atom



Entry 5:
Compound: Zr5Ru
Source: the Alexandria database
Functional: PBE
Structure: optimized geometry

Structure (CIF):
```
data_Zr5Ru
_chemical_formula_sum 'Zr20 Ru4'
_symmetry_space_group_name_H-M 'F -4 3 m'
_symmetry_Int_Tables_number 216
_symmetry_space_group_name_Hall 'F -4 2 3'
_cell_length_a 8.0302
_cell_length_b 8.0302
_cell_length_c 8.0302
_cell_angle_alpha 90.00
_cell_angle_beta 90.00
_cell_angle_gamma 90.00
loop_
_atom_site_label
_atom_site_type_symbol
_atom_site_fract_x
_atom_site_fract_y
_atom_site_fract_z
Zr1 Zr 0.0000 0.0000 0.0000
Zr2 Zr 0.1248 0.1248 0.6248
Ru1 Ru 0.2500 0.2500 0.2500
```

Calculated values
energy above the lowest structure with this stoichiometry	0.601	eV/atom
energy of formation from the pure elements	39.4	kJ per mole of atoms



Entry 6:
Compound: KV2BOs
Source: the Alexandria database
Functional: PBE
Structure: optimized geometry

Structure (CIF):
```
data_KV2BOs
_chemical_formula_sum 'K1 V2 B1 Os1'
_symmetry_space_group_name_H-M 'P 4/m m m'
_symmetry_Int_Tables_number 123
_symmetry_space_group_name_Hall '-P 4 2'
_cell_length_a 4.8797
_cell_length_b 4.8797
_cell_length_c 4.2543
_cell_angle_alpha 90.00
_cell_angle_beta 90.00
_cell_angle_gamma 90.00
loop_
_atom_site_label
_atom_site_type_symbol
_atom_site_fract_x
_atom_site_fract_y
_atom_site_fract_z
K1 K 0.0000 0.0000 0.0000
V1 V 0.0000 0.5000 0.5000
B1 B 0.5000 0.5000 0.0000
Os1 Os 0.5000 0.5000 0.5000
```

Calculated values
energy of formation from the pure elements	101.5	kJ per mole of atoms



Entry 7:
Compound: LiTlIO2
Source: the Alexandria database
Functional: PBE
Structure: optimized geometry

Structure (CIF):
```
data_LiTlIO2
_chemical_formula_sum 'Li1 Tl1 I1 O2'
_symmetry_space_group_name_H-M 'P 4/m m m'
_symmetry_Int_Tables_number 123
_symmetry_space_group_name_Hall '-P 4 2'
_cell_length_a 4.1734
_cell_length_b 4.1734
_cell_length_c 6.7783
_cell_angle_alpha 90.00
_cell_angle_beta 90.00
_cell_angle_gamma 90.00
loop_
_atom_site_label
_atom_site_type_symbol
_atom_site_fract_x
_atom_site_fract_y
_atom_site_fract_z
Li1 Li 0.0000 0.0000 0.0000
Tl1 Tl 0.5000 0.5000 0.5000
I1 I 0.5000 0.5000 0.0000
O1 O 0.0000 0.5000 0.5000
```

Calculated values
energy above the lowest structure with this stoichiometry	0.000	eV/atom
formation energy (no corrections)	-290.6	meV/atom



Entry 8:
Compound: PaMn12
Source: the Alexandria database
Functional: PBE
Structure: optimized geometry

Structure (CIF):
```
data_PaMn12
_chemical_formula_sum 'Pa2 Mn24'
_symmetry_space_group_name_H-M 'I 4/m m m'
_symmetry_Int_Tables_number 139
_symmetry_space_group_name_Hall '-I 4 2'
_cell_length_a 8.3470
_cell_length_b 8.3470
_cell_length_c 4.5647
_cell_angle_alpha 90.00
_cell_angle_beta 90.00
_cell_angle_gamma 90.00
loop_
_atom_site_label
_atom_site_type_symbol
_atom_site_fract_x
_atom_site_fract_y
_atom_site_fract_z
Pa1 Pa 0.0000 0.0000 0.0000
Mn1 Mn 0.0000 0.2262 0.5000
Mn2 Mn 0.0000 0.3650 0.0000
Mn3 Mn 0.2500 0.2500 0.2500
```

Calculated values
energy of formation from the pure elements	-0.6	kJ per mole of atoms



Entry 9:
Compound: Pr2LuRu
Source: the Alexandria database
Functional: PBE
Structure: optimized geometry

Structure (CIF):
```
data_Pr2LuRu
_chemical_formula_sum 'Pr6 Lu3 Ru3'
_symmetry_space_group_name_H-M 'R -3 m'
_symmetry_Int_Tables_number 166
_symmetry_space_group_name_Hall '-R 3 2"'
_cell_length_a 3.5992
_cell_length_b 3.5992
_cell_length_c 32.1717
_cell_angle_alpha 90.00
_cell_angle_beta 90.00
_cell_angle_gamma 120.00
loop_
_atom_site_label
_atom_site_type_symbol
_atom_site_fract_x
_atom_site_fract_y
_atom_site_fract_z
Pr1 Pr 0.0000 0.0000 0.1055
Lu1 Lu 0.0000 0.0000 0.0000
Ru1 Ru 0.0000 0.0000 0.5000
```

Calculated values
energy of formation from the pure elements	23.6	kJ per mole of atoms



Entry 10:
Compound: Tm4MgAl
Source: the Alexandria database
Functional: PBE
Structure: optimized geometry

Structure (CIF):
```
data_Tm4MgAl
_chemical_formula_sum 'Tm4 Mg1 Al1'
_symmetry_space_group_name_H-M 'P 4/m m m'
_symmetry_Int_Tables_number 123
_symmetry_space_group_name_Hall '-P 4 2'
_cell_length_a 4.9369
_cell_length_b 4.9369
_cell_length_c 7.5782
_cell_angle_alpha 90.00
_cell_angle_beta 90.00
_cell_angle_gamma 90.00
loop_
_atom_site_label
_atom_site_type_symbol
_atom_site_fract_x
_atom_site_fract_y
_atom_site_fract_z
Tm1 Tm 0.0000 0.5000 0.2321
Mg1 Mg 0.0000 0.0000 0.5000
Al1 Al 0.5000 0.5000 0.0000
```

Calculated values
energy of formation from the pure elements	20.8	kJ per mole of atoms



Entry 11:
Compound: Li4Pa3NiS8
Source: the Alexandria database
Functional: PBE
Structure: optimized geometry

Structure (CIF):
```
data_Li4Pa3NiS8
_chemical_formula_sum 'Li8 Pa6 Ni2 S16'
_symmetry_space_group_name_H-M 'C 1 2/m 1'
_symmetry_Int_Tables_number 12
_cell_length_a 13.4155
_cell_length_b 7.3614
_cell_length_c 7.6933
_cell_angle_alpha 90.00
_cell_angle_beta 124.85
_cell_angle_gamma 90.00
loop_
_symmetry_equiv_pos_as_xyz
'x,y,z'
'-x,-y,-z'
'-x,y,-z'
'x,-y,z'
'x+1/2,y+1/2,z'
'-x+1/2,-y+1/2,-z'
'-x+1/2,y+1/2,-z'
'x+1/2,-y+1/2,z'
loop_
_atom_site_label
_atom_site_type_symbol
_atom_site_fract_x
_atom_site_fract_y
_atom_site_fract_z
Li1 Li 0.0000 0.0000 0.0000
Li2 Li 0.0000 0.5000 0.0000
Li3 Li 0.2500 0.2500 0.5000
Pa1 Pa 0.0000 0.0000 0.5000
Pa2 Pa 0.2500 0.2500 0.0000
Ni1 Ni 0.0000 0.5000 0.5000
S1 S 0.0018 0.2731 0.7367
S2 S 0.2299 0.0000 0.2371
S3 S 0.2502 0.0000 0.7323
```

Calculated values
formation energy (no corrections)	-1296.5	meV/atom



Entry 12:
Compound: Er3Pd2
Source: the Alexandria database
Functional: PBE
Structure: optimized geometry

Structure (CIF):
```
data_Er3Pd2
_chemical_formula_sum 'Er6 Pd4'
_symmetry_space_group_name_H-M 'P 4/m b m'
_symmetry_Int_Tables_number 127
_symmetry_space_group_name_Hall '-P 4 2ab'
_cell_length_a 7.7143
_cell_length_b 7.7143
_cell_length_c 3.9437
_cell_angle_alpha 90.00
_cell_angle_beta 90.00
_cell_angle_gamma 90.00
loop_
_atom_site_label
_atom_site_type_symbol
_atom_site_fract_x
_atom_site_fract_y
_atom_site_fract_z
Er1 Er 0.0000 0.0000 0.0000
Er2 Er 0.1639 0.3361 0.5000
Pd1 Pd 0.1343 0.6343 0.0000
```

Calculated values
energy above the lowest structure with this stoichiometry	0.000	eV/atom
energy of formation from the pure elements	-73.4	kJ per mole of atoms